1.
First-principles (PBE) data for a relaxed structure of PrGaNO, as listed in the Open Quantum Materials Database.

Summary:
As for the space group: P4/nmm. The value obtained for the energy above the lowest structure with this stoichiometry is 0.732 eV/f.u. The calculation puts the magnetic moment at 0.01 Bohr magnetons per cell.

Cell and atoms, written as CIF:
```
data_PrGaNO
_cell_length_a 4.965
_cell_length_b 4.965
_cell_length_c 4.893
_cell_angle_alpha 90.00
_cell_angle_beta 90.00
_cell_angle_gamma 90.00
_space_group_name_H-M_alt 'P 1'
_space_group_IT_number 1
loop_
_space_group_symop_operation_xyz
'x,y,z'
loop_
_atom_site_label
_atom_site_type_symbol
_atom_site_fract_x
_atom_site_fract_y
_atom_site_fract_z
Pr1 Pr 0.500 0.000 0.500
Pr2 Pr 0.000 0.500 0.500
N1 N 0.000 0.000 0.586
N2 N 0.500 0.500 0.414
Ga1 Ga 0.000 0.000 0.982
Ga2 Ga 0.500 0.500 0.018
O1 O 0.000 0.500 0.000
O2 O 0.500 0.000 0.000
```

---

2.
First-principles (PBE) data for a relaxed structure of GaPtNO, as listed in the Open Quantum Materials Database.

Summary:
As for the space group: Pmc2_1. The value obtained for the energy above the lowest structure with this stoichiometry is 0.000 eV/f.u. The calculation puts the magnetic moment at 0.00 Bohr magnetons per cell.

Cell and atoms, written as CIF:
```
data_GaPtNO
_cell_length_a 3.210
_cell_length_b 4.936
_cell_length_c 6.433
_cell_angle_alpha 90.00
_cell_angle_beta 90.00
_cell_angle_gamma 90.00
_space_group_name_H-M_alt 'P 1'
_space_group_IT_number 1
loop_
_space_group_symop_operation_xyz
'x,y,z'
loop_
_atom_site_label
_atom_site_type_symbol
_atom_site_fract_x
_atom_site_fract_y
_atom_site_fract_z
Pt1 Pt 0.000 0.515 0.420
Pt2 Pt 0.000 0.015 0.580
N1 N 0.000 0.880 0.285
N2 N 0.000 0.380 0.715
O1 O 0.500 0.868 0.870
O2 O 0.500 0.368 0.130
Ga1 Ga 0.500 0.491 0.855
Ga2 Ga 0.500 0.991 0.145
```

---

3.
First-principles (PBE) data for a relaxed structure of GaPtNO, as listed in the Open Quantum Materials Database.

Summary:
As for the space group: P4/nmm. The value obtained for the energy above the lowest structure with this stoichiometry is 2.571 eV/f.u. The calculation puts the magnetic moment at 0.03 Bohr magnetons per cell.

Cell and atoms, written as CIF:
```
data_GaPtNO
_cell_length_a 3.962
_cell_length_b 3.962
_cell_length_c 6.798
_cell_angle_alpha 90.00
_cell_angle_beta 90.00
_cell_angle_gamma 90.00
_space_group_name_H-M_alt 'P 1'
_space_group_IT_number 1
loop_
_space_group_symop_operation_xyz
'x,y,z'
loop_
_atom_site_label
_atom_site_type_symbol
_atom_site_fract_x
_atom_site_fract_y
_atom_site_fract_z
Ga1 Ga 0.000 0.000 0.500
Ga2 Ga 0.500 0.500 0.500
N1 N 0.000 0.500 0.570
N2 N 0.500 0.000 0.430
O1 O 0.000 0.000 0.000
O2 O 0.500 0.500 0.000
Pt1 Pt 0.500 0.000 0.919
Pt2 Pt 0.000 0.500 0.081
```

---

4.
First-principles (PBE) data for a relaxed structure of GaPtNO, as listed in the Open Quantum Materials Database.

Summary:
As for the space group: Pmc2_1. The value obtained for the energy above the lowest structure with this stoichiometry is 0.069 eV/f.u. The calculation puts the magnetic moment at 0.00 Bohr magnetons per cell.

Cell and atoms, written as CIF:
```
data_GaPtNO
_cell_length_a 2.940
_cell_length_b 5.538
_cell_length_c 5.777
_cell_angle_alpha 90.00
_cell_angle_beta 90.00
_cell_angle_gamma 90.00
_space_group_name_H-M_alt 'P 1'
_space_group_IT_number 1
loop_
_space_group_symop_operation_xyz
'x,y,z'
loop_
_atom_site_label
_atom_site_type_symbol
_atom_site_fract_x
_atom_site_fract_y
_atom_site_fract_z
Pt1 Pt 0.500 0.388 0.975
Pt2 Pt 0.500 0.888 0.025
N1 N 0.000 0.883 0.266
N2 N 0.000 0.383 0.734
Ga1 Ga 0.000 0.593 0.459
Ga2 Ga 0.000 0.093 0.541
O1 O 0.500 0.389 0.343
O2 O 0.500 0.889 0.657
```

---

5.
First-principles (PBE) data for a relaxed structure of GaPtNO, as listed in the Open Quantum Materials Database.

Summary:
As for the space group: P4/nmm. The value obtained for the energy above the lowest structure with this stoichiometry is 1.856 eV/f.u. The calculation puts the magnetic moment at 0.00 Bohr magnetons per cell.

Cell and atoms, written as CIF:
```
data_GaPtNO
_cell_length_a 3.988
_cell_length_b 3.988
_cell_length_c 6.220
_cell_angle_alpha 90.00
_cell_angle_beta 90.00
_cell_angle_gamma 90.00
_space_group_name_H-M_alt 'P 1'
_space_group_IT_number 1
loop_
_space_group_symop_operation_xyz
'x,y,z'
loop_
_atom_site_label
_atom_site_type_symbol
_atom_site_fract_x
_atom_site_fract_y
_atom_site_fract_z
Pt1 Pt 0.500 0.500 0.500
Pt2 Pt 0.000 0.000 0.500
Ga1 Ga 0.000 0.500 0.108
Ga2 Ga 0.500 0.000 0.892
N1 N 0.000 0.500 0.608
N2 N 0.500 0.000 0.392
O1 O 0.000 0.000 0.000
O2 O 0.500 0.500 0.000
```

---

6.
First-principles (PBE) data for a relaxed structure of SmGaNO, as listed in the Open Quantum Materials Database.

Summary:
As for the space group: Pmc2_1. The value obtained for the energy above the lowest structure with this stoichiometry is 0.194 eV/f.u. The calculation puts the magnetic moment at 0.00 Bohr magnetons per cell.

Cell and atoms, written as CIF:
```
data_SmGaNO
_cell_length_a 3.835
_cell_length_b 5.296
_cell_length_c 5.614
_cell_angle_alpha 90.00
_cell_angle_beta 90.00
_cell_angle_gamma 90.00
_space_group_name_H-M_alt 'P 1'
_space_group_IT_number 1
loop_
_space_group_symop_operation_xyz
'x,y,z'
loop_
_atom_site_label
_atom_site_type_symbol
_atom_site_fract_x
_atom_site_fract_y
_atom_site_fract_z
N1 N 0.000 0.556 0.209
N2 N 0.000 0.444 0.709
Ga1 Ga 0.000 0.752 0.500
Ga2 Ga 0.000 0.248 0.000
Sm1 Sm 0.500 0.277 0.477
Sm2 Sm 0.500 0.723 0.977
O1 O 0.500 0.850 0.560
O2 O 0.500 0.150 0.060
```

---

7.
First-principles (PBE) data for a relaxed structure of SmGaNO, as listed in the Open Quantum Materials Database.

Summary:
As for the space group: Pmc2_1. The value obtained for the energy above the lowest structure with this stoichiometry is 0.000 eV/f.u. The calculation puts the magnetic moment at 0.00 Bohr magnetons per cell.

Cell and atoms, written as CIF:
```
data_SmGaNO
_cell_length_a 4.144
_cell_length_b 5.127
_cell_length_c 5.419
_cell_angle_alpha 90.00
_cell_angle_beta 90.00
_cell_angle_gamma 90.00
_space_group_name_H-M_alt 'P 1'
_space_group_IT_number 1
loop_
_space_group_symop_operation_xyz
'x,y,z'
loop_
_atom_site_label
_atom_site_type_symbol
_atom_site_fract_x
_atom_site_fract_y
_atom_site_fract_z
O1 O 0.500 0.345 0.109
O2 O 0.500 0.845 0.891
Sm1 Sm 0.000 0.473 0.269
Sm2 Sm 0.000 0.973 0.731
Ga1 Ga 0.500 0.979 0.239
Ga2 Ga 0.500 0.479 0.761
N1 N 0.000 0.457 0.701
N2 N 0.000 0.957 0.299
```

---

8.
First-principles (PBE) data for a relaxed structure of SmGaNO, as listed in the Open Quantum Materials Database.

Summary:
As for the space group: P4/nmm. The value obtained for the energy above the lowest structure with this stoichiometry is 0.567 eV/f.u. The calculation puts the magnetic moment at 0.00 Bohr magnetons per cell.

Cell and atoms, written as CIF:
```
data_SmGaNO
_cell_length_a 4.878
_cell_length_b 4.878
_cell_length_c 4.778
_cell_angle_alpha 90.00
_cell_angle_beta 90.00
_cell_angle_gamma 90.00
_space_group_name_H-M_alt 'P 1'
_space_group_IT_number 1
loop_
_space_group_symop_operation_xyz
'x,y,z'
loop_
_atom_site_label
_atom_site_type_symbol
_atom_site_fract_x
_atom_site_fract_y
_atom_site_fract_z
N1 N 0.750 0.750 0.429
N2 N 0.250 0.250 0.571
Sm1 Sm 0.250 0.750 0.500
Sm2 Sm 0.750 0.250 0.500
Ga1 Ga 0.750 0.750 0.016
Ga2 Ga 0.250 0.250 0.984
O1 O 0.750 0.250 0.000
O2 O 0.250 0.750 0.000
```